Entry from the Alexandria database: a PBEsol-optimized structure of K2InHgBr6 (meta-GGA SCAN).

Summary:
Volume = 1352 Å³ per cell
M_tot = 0.00 Bohr magnetons per cell
Total energy = -985.651 eV/cell
E_form (uncorrected) = -1.14 eV per atom

The structure in CIF format:
```
data_K2InHgBr6
_symmetry_space_group_name_H-M 'F m -3 m'
_symmetry_Int_Tables_number 225
_symmetry_space_group_name_Hall '-F 4 2 3'
_cell_length_a 11.056
_cell_length_b 11.056
_cell_length_c 11.056
_cell_angle_alpha 90.00
_cell_angle_beta 90.00
_cell_angle_gamma 90.00
loop_
_atom_site_label
_atom_site_fract_x
_atom_site_fract_y
_atom_site_fract_z
K1 0.250 0.250 0.250
In1 0.000 0.000 0.000
Hg1 0.000 0.000 0.500
Br1 0.000 0.000 0.245
```